A plane-wave DFT calculation with PBE was carried out for an optimized crystal structure of LaZn2Pt2.

a = 4.1906 Å, b = 4.1906 Å, c = 5.6975 Å
α = 90.00°, β = 90.00°, γ = 90.00°
Positions (direct):
La 0.0000 0.0000 0.0000
Zn 0.0000 0.5000 0.5000
Zn 0.5000 0.0000 0.5000
Pt 0.5000 0.5000 0.2342
Pt 0.5000 0.5000 0.7658

Summary:
The calculation puts the total magnetization at 0.00 μB per formula unit. As for the formation energy from the elements: -0.818 eV/atom. The density of states at the Fermi level comes out at 2.9 states/eV/f.u. The mass density is 11.0 Mg/m³. The energy above the most stable polymorph in this dataset is 14 meV per atom.

=====

A plane-wave DFT calculation with PBE was carried out for an optimized crystal structure of La3Zn8Pt.

a = 9.4709 Å, b = 9.4709 Å, c = 9.4709 Å
α = 34.00°, β = 34.00°, γ = 34.00°
Positions (direct):
La 0.0000 0.0000 0.0000
La 0.1275 0.1275 0.1275
La 0.5086 0.5086 0.5086
Zn 0.0557 0.5649 0.5649
Zn 0.0656 0.0656 0.5693
Zn 0.0656 0.5693 0.0656
Zn 0.3126 0.3126 0.3126
Zn 0.5649 0.0557 0.5649
Zn 0.5649 0.5649 0.0557
Zn 0.5693 0.0656 0.0656
Zn 0.8157 0.8157 0.8157
Pt 0.6393 0.6393 0.6393

Summary:
The calculation puts the total magnetization at 0.00 μB per formula unit. As for the formation energy from the elements: -0.324 eV/atom. The density of states at the Fermi level comes out at 5.6 states/eV/f.u. The mass density is 8.0 Mg/m³.

=====

A plane-wave DFT calculation with PBE was carried out for an optimized crystal structure of La2Zn2Pt3.

a = 9.7859 Å, b = 9.7859 Å, c = 7.5276 Å
α = 90.00°, β = 90.00°, γ = 155.48°
Positions (direct):
La 0.0630 0.9370 0.7500
La 0.1531 0.8469 0.2500
La 0.8469 0.1531 0.7500
La 0.9370 0.0630 0.2500
Zn 0.3051 0.6949 0.0552
Zn 0.3051 0.6949 0.4448
Zn 0.6949 0.3051 0.5552
Zn 0.6949 0.3051 0.9448
Pt 0.2258 0.7742 0.7500
Pt 0.4339 0.5661 0.5562
Pt 0.4339 0.5661 0.9438
Pt 0.5661 0.4339 0.0562
Pt 0.5661 0.4339 0.4438
Pt 0.7742 0.2258 0.2500

Summary:
The calculation puts the total magnetization at 0.00 μB per formula unit. As for the formation energy from the elements: -0.951 eV/atom. The density of states at the Fermi level comes out at 3.6 states/eV/f.u. The mass density is 11.0 Mg/m³.

=====

A plane-wave DFT calculation with PBE was carried out for an optimized crystal structure of La3Zn7Pt4.

a = 8.2078 Å, b = 8.2078 Å, c = 9.4703 Å
α = 122.37°, β = 122.37°, γ = 31.17°
Positions (direct):
La 0.0000 0.0000 0.0000
La 0.2987 0.2987 0.2935
La 0.7013 0.7013 0.7065
Zn 0.0000 0.0000 0.5000
Zn 0.1433 0.1433 0.4203
Zn 0.3265 0.3265 0.9843
Zn 0.4968 0.4968 0.6963
Zn 0.5032 0.5032 0.3037
Zn 0.6735 0.6735 0.0157
Zn 0.8567 0.8567 0.5797
Pt 0.1157 0.1157 0.8307
Pt 0.3403 0.3403 0.7182
Pt 0.6597 0.6597 0.2818
Pt 0.8843 0.8843 0.1693

Summary:
The calculation puts the total magnetization at 0.00 μB per formula unit. As for the formation energy from the elements: -0.732 eV/atom. The density of states at the Fermi level comes out at 7.9 states/eV/f.u. The mass density is 10.0 Mg/m³.

=====

A plane-wave DFT calculation with PBE was carried out for an optimized crystal structure of LaZn4Pt.

a = 5.3377 Å, b = 5.3377 Å, c = 5.3377 Å
α = 60.00°, β = 60.00°, γ = 60.00°
Positions (direct):
La 0.0000 0.0000 0.0000
Zn 0.3766 0.3766 0.3766
Zn 0.3766 0.3766 0.8703
Zn 0.3766 0.8703 0.3766
Zn 0.8703 0.3766 0.3766
Pt 0.7500 0.7500 0.7500

Summary:
The calculation puts the total magnetization at 0.00 μB per formula unit. As for the formation energy from the elements: -0.339 eV/atom. The density of states at the Fermi level comes out at 4.8 states/eV/f.u. The mass density is 9.2 Mg/m³. The energy above the most stable polymorph in this dataset is 132 meV per atom.

=====

A plane-wave DFT calculation with PBE was carried out for an optimized crystal structure of La2Zn2Pt.

a = 6.0836 Å, b = 6.0836 Å, c = 11.8264 Å
α = 115.28°, β = 115.28°, γ = 40.05°
Positions (direct):
La 0.0675 0.0675 0.3612
La 0.2039 0.2039 0.1168
La 0.7961 0.7961 0.8832
La 0.9325 0.9325 0.6388
Zn 0.3799 0.3799 0.4166
Zn 0.4871 0.4871 0.1143
Zn 0.5129 0.5129 0.8857
Zn 0.6201 0.6201 0.5834
Pt 0.2683 0.2683 0.6898
Pt 0.7317 0.7317 0.3102

Summary:
The calculation puts the total magnetization at 0.00 μB per formula unit. As for the formation energy from the elements: -0.651 eV/atom. The density of states at the Fermi level comes out at 4.6 states/eV/f.u. The mass density is 8.0 Mg/m³. The energy above the most stable polymorph in this dataset is 0 meV per atom.

=====

A plane-wave DFT calculation with PBE was carried out for an optimized crystal structure of La2Zn15Pt2.

a = 6.9015 Å, b = 6.9015 Å, c = 6.9015 Å
α = 82.55°, β = 82.55°, γ = 82.55°
Positions (direct):
La 0.1618 0.1618 0.1618
La 0.8382 0.8382 0.8382
Zn 0.0000 0.5000 0.5000
Zn 0.1522 0.1522 0.6548
Zn 0.1522 0.6548 0.1522
Zn 0.2185 0.5000 0.7815
Zn 0.2185 0.7815 0.5000
Zn 0.3452 0.8478 0.8478
Zn 0.5000 0.0000 0.5000
Zn 0.5000 0.2185 0.7815
Zn 0.5000 0.5000 0.0000
Zn 0.5000 0.7815 0.2185
Zn 0.6548 0.1522 0.1522
Zn 0.7815 0.2185 0.5000
Zn 0.7815 0.5000 0.2185
Zn 0.8478 0.3452 0.8478
Zn 0.8478 0.8478 0.3452
Pt 0.3886 0.3886 0.3886
Pt 0.6114 0.6114 0.6114

Summary:
The calculation puts the total magnetization at 0.00 μB per formula unit. As for the formation energy from the elements: -0.366 eV/atom. The density of states at the Fermi level comes out at 7.1 states/eV/f.u. The mass density is 8.5 Mg/m³.

=====

A plane-wave DFT calculation with PBE was carried out for an optimized crystal structure of La3Zn2Pt7.

a = 15.1447 Å, b = 15.1447 Å, c = 4.1489 Å
α = 90.00°, β = 90.00°, γ = 164.17°
Positions (direct):
La 0.0000 0.0000 0.0000
La 0.2013 0.7987 0.0000
La 0.7987 0.2013 0.0000
Zn 0.4178 0.5822 0.5000
Zn 0.5822 0.4178 0.5000
Pt 0.1320 0.8680 0.5000
Pt 0.2890 0.7110 0.5000
Pt 0.3675 0.6325 0.0000
Pt 0.5000 0.5000 0.5000
Pt 0.6325 0.3675 0.0000
Pt 0.7110 0.2890 0.5000
Pt 0.8680 0.1320 0.5000

Summary:
The calculation puts the total magnetization at 0.00 μB per formula unit. As for the formation energy from the elements: -0.707 eV/atom. The density of states at the Fermi level comes out at 5.8 states/eV/f.u. The mass density is 12.2 Mg/m³.

=====

A plane-wave DFT calculation with PBE was carried out for an optimized crystal structure of LaZn2Pt2.

a = 6.7155 Å, b = 6.7155 Å, c = 6.7155 Å
α = 145.02°, β = 145.02°, γ = 50.31°
Positions (direct):
La 0.0000 0.0000 0.0000
Zn 0.2500 0.7500 0.5000
Zn 0.7500 0.2500 0.5000
Pt 0.3873 0.3873 0.0000
Pt 0.6127 0.6127 0.0000

Summary:
The calculation puts the total magnetization at 0.00 μB per formula unit. As for the formation energy from the elements: -0.832 eV/atom. The density of states at the Fermi level comes out at 2.3 states/eV/f.u. The mass density is 11.1 Mg/m³. The energy above the most stable polymorph in this dataset is 0 meV per atom.

=====

A plane-wave DFT calculation with PBE was carried out for an optimized crystal structure of LaZn3Pt.

a = 6.2856 Å, b = 6.2856 Å, c = 6.1491 Å
α = 90.00°, β = 90.00°, γ = 125.08°
Positions (direct):
La 0.2376 0.7624 0.7500
La 0.7624 0.2376 0.2500
Zn 0.1197 0.8803 0.2500
Zn 0.2728 0.2728 0.0000
Zn 0.2728 0.2728 0.5000
Zn 0.7272 0.7272 0.0000
Zn 0.7272 0.7272 0.5000
Zn 0.8803 0.1197 0.7500
Pt 0.3483 0.6517 0.2500
Pt 0.6517 0.3483 0.7500

Summary:
The calculation puts the total magnetization at 0.00 μB per formula unit. As for the formation energy from the elements: -0.586 eV/atom. The density of states at the Fermi level comes out at 3.3 states/eV/f.u. The mass density is 8.9 Mg/m³. The energy above the most stable polymorph in this dataset is 0 meV per atom.

=====

A plane-wave DFT calculation with PBE was carried out for an optimized crystal structure of La3ZnPt.

a = 5.6806 Å, b = 5.6806 Å, c = 5.6806 Å
α = 90.00°, β = 90.00°, γ = 90.00°
Positions (direct):
La 0.0000 0.0000 0.5000
La 0.0000 0.5000 0.0000
La 0.5000 0.0000 0.0000
Zn 0.5000 0.5000 0.5000
Pt 0.0000 0.0000 0.0000

Summary:
The calculation puts the total magnetization at 0.00 μB per formula unit. As for the formation energy from the elements: -0.260 eV/atom. The density of states at the Fermi level comes out at 11.9 states/eV/f.u. The mass density is 6.1 Mg/m³. The energy above the most stable polymorph in this dataset is 277 meV per atom.

=====

The lowest formation energy from the elements belongs to which entry? La2Zn2Pt3

=====

The lowest formation energy from the elements belongs to which entry? La2Zn2Pt3

=====

What is the mass density in the eleventh record? 6.1 Mg/m³

=====

Repeat the eleventh record exactly.
A plane-wave DFT calculation with PBE was carried out for an optimized crystal structure of La3ZnPt.

a = 5.6806 Å, b = 5.6806 Å, c = 5.6806 Å
α = 90.00°, β = 90.00°, γ = 90.00°
Positions (direct):
La 0.0000 0.0000 0.5000
La 0.0000 0.5000 0.0000
La 0.5000 0.0000 0.0000
Zn 0.5000 0.5000 0.5000
Pt 0.0000 0.0000 0.0000

Summary:
The calculation puts the total magnetization at 0.00 μB per formula unit. As for the formation energy from the elements: -0.260 eV/atom. The density of states at the Fermi level comes out at 11.9 states/eV/f.u. The mass density is 6.1 Mg/m³. The energy above the most stable polymorph in this dataset is 277 meV per atom.